#one
LiCaGa2 | PBE-GGA | optimized geometry Values from VASP.

magnetization	0.00	μB/f.u.

Geometry as Quantum ESPRESSO input:
```
&SYSTEM
  ibrav = 0, nat = 4, ntyp = 3
/
ATOMIC_SPECIES
Ga 69.72 Ga.upf
Ca 40.08 Ca.upf
Li 6.94 Li.upf
CELL_PARAMETERS angstrom
-2.153 -3.797 -0.240
1.909 -3.483 -1.825
1.852 -3.818 3.990
ATOMIC_POSITIONS crystal
Ga 0.796 0.796 0.612
Ga 0.204 0.204 0.388
Ca 0.000 0.000 0.000
Li 0.500 0.500 0.500
```

#two
LiCaGa2 | PBE-GGA | optimized geometry Values from VASP.

magnetization	0.00	μB/f.u.

Geometry as Quantum ESPRESSO input:
```
&SYSTEM
  ibrav = 0, nat = 8, ntyp = 3
/
ATOMIC_SPECIES
Li 6.94 Li.upf
Ga 69.72 Ga.upf
Ca 40.08 Ca.upf
CELL_PARAMETERS angstrom
-1.815 -2.810 -3.211
3.980 0.143 -2.375
4.116 -8.600 1.852
ATOMIC_POSITIONS crystal
Li 0.500 0.500 0.000
Li 0.250 0.750 0.500
Ga 0.477 0.125 0.250
Ga 0.273 0.625 0.250
Ga 0.375 0.523 0.750
Ga 0.875 0.727 0.750
Ca 0.000 0.000 0.000
Ca 0.750 0.250 0.500
```

It turns out #one is the most stable, with the second structure 0.252 eV/atom higher.

#one
LiCaGa2 | PBE-GGA | optimized geometry Values from VASP.

magnetization	0.00	μB/f.u.

Geometry as Quantum ESPRESSO input:
```
&SYSTEM
  ibrav = 0, nat = 4, ntyp = 3
/
ATOMIC_SPECIES
Ca 40.08 Ca.upf
Ga 69.72 Ga.upf
Li 6.94 Li.upf
CELL_PARAMETERS angstrom
-2.571 3.670 1.940
-1.132 3.894 -2.720
-4.621 0.747 -1.391
ATOMIC_POSITIONS crystal
Ca 0.500 0.500 0.500
Ga 0.250 0.250 0.250
Ga 0.750 0.750 0.750
Li 0.000 0.000 0.000
```

#two
LiCaGa2 | PBE-GGA | optimized geometry Values from VASP.

magnetization	0.00	μB/f.u.

Geometry as Quantum ESPRESSO input:
```
&SYSTEM
  ibrav = 0, nat = 4, ntyp = 3
/
ATOMIC_SPECIES
Ga 69.72 Ga.upf
Ca 40.08 Ca.upf
Li 6.94 Li.upf
CELL_PARAMETERS angstrom
4.226 0.000 0.000
0.000 4.481 0.000
0.000 0.000 4.481
ATOMIC_POSITIONS crystal
Ga 0.000 0.500 0.000
Ga 0.000 0.000 0.500
Ca 0.500 0.500 0.500
Li 0.500 0.000 0.000
```

#three
LiCaGa2 | PBE-GGA | optimized geometry Values from VASP.

magnetization	0.00	μB/f.u.

Geometry as Quantum ESPRESSO input:
```
&SYSTEM
  ibrav = 0, nat = 4, ntyp = 3
/
ATOMIC_SPECIES
Ca 40.08 Ca.upf
Ga 69.72 Ga.upf
Li 6.94 Li.upf
CELL_PARAMETERS angstrom
3.383 0.000 0.000
0.000 3.383 0.000
0.000 0.000 6.963
ATOMIC_POSITIONS crystal
Ca 0.500 0.500 0.500
Ga 0.000 0.000 0.806
Ga 0.000 0.000 0.194
Li 0.500 0.500 0.000
```

It turns out #three is the most stable, with the second structure 0.052 eV/atom higher.

#one
LiCa8Ga2 | PBE-GGA | optimized geometry Values from VASP.

magnetization	0.00	μB/f.u.

Geometry as Quantum ESPRESSO input:
```
&SYSTEM
  ibrav = 0, nat = 11, ntyp = 3
/
ATOMIC_SPECIES
Ca 40.08 Ca.upf
Li 6.94 Li.upf
Ga 69.72 Ga.upf
CELL_PARAMETERS angstrom
-3.317 2.070 -0.317
-5.838 -9.278 0.482
6.076 7.330 8.572
ATOMIC_POSITIONS crystal
Ca 0.144 0.091 0.288
Ca 0.331 0.568 0.661
Ca 0.660 0.819 0.320
Ca 0.669 0.432 0.339
Ca 0.340 0.181 0.680
Ca 0.031 0.385 0.063
Ca 0.856 0.909 0.712
Ca 0.969 0.615 0.937
Li 0.500 0.000 0.000
Ga 0.219 0.718 0.438
Ga 0.781 0.282 0.562
```

#two
LiCa8Ga2 | PBE-GGA | optimized geometry Values from VASP.

magnetization	0.00	μB/f.u.

Geometry as Quantum ESPRESSO input:
```
&SYSTEM
  ibrav = 0, nat = 11, ntyp = 3
/
ATOMIC_SPECIES
Ca 40.08 Ca.upf
Li 6.94 Li.upf
Ga 69.72 Ga.upf
CELL_PARAMETERS angstrom
-1.979 4.555 1.578
-3.708 -3.603 5.747
9.615 0.407 2.277
ATOMIC_POSITIONS crystal
Ca 0.966 0.226 0.932
Ca 0.034 0.774 0.068
Ca 0.601 0.477 0.201
Ca 0.676 0.961 0.351
Ca 0.399 0.523 0.799
Ca 0.198 0.310 0.397
Ca 0.324 0.039 0.649
Ca 0.802 0.690 0.603
Li 0.500 0.000 0.000
Ga 0.815 0.300 0.630
Ga 0.185 0.700 0.370
```

It turns out #two is the most stable, with the second structure 0.039 eV/atom higher.

#one
LiCa3Ga2 | PBE-GGA | optimized geometry Values from VASP.

magnetization	0.00	μB/f.u.

Geometry as Quantum ESPRESSO input:
```
&SYSTEM
  ibrav = 0, nat = 12, ntyp = 3
/
ATOMIC_SPECIES
Li 6.94 Li.upf
Ga 69.72 Ga.upf
Ca 40.08 Ca.upf
CELL_PARAMETERS angstrom
-5.625 -1.439 4.130
-0.140 -7.122 -0.167
3.125 -1.660 6.184
ATOMIC_POSITIONS crystal
Li 0.000 0.000 0.000
Li 0.500 0.500 0.500
Ga 0.164 0.164 0.164
Ga 0.836 0.836 0.836
Ga 0.336 0.336 0.336
Ga 0.664 0.664 0.664
Ca 0.427 0.750 0.073
Ca 0.750 0.073 0.427
Ca 0.927 0.573 0.250
Ca 0.573 0.250 0.927
Ca 0.250 0.927 0.573
Ca 0.073 0.427 0.750
```

#two
LiCa3Ga2 | PBE-GGA | optimized geometry Values from VASP.

magnetization	0.00	μB/f.u.

Geometry as Quantum ESPRESSO input:
```
&SYSTEM
  ibrav = 0, nat = 6, ntyp = 3
/
ATOMIC_SPECIES
Ca 40.08 Ca.upf
Ga 69.72 Ga.upf
Li 6.94 Li.upf
CELL_PARAMETERS angstrom
-0.563 3.685 -0.233
-3.542 -0.606 -1.021
-3.203 0.205 10.990
ATOMIC_POSITIONS crystal
Ca 0.000 0.000 0.000
Ca 0.000 0.000 0.691
Ca 0.000 0.000 0.309
Ga 0.500 0.500 0.159
Ga 0.500 0.500 0.841
Li 0.500 0.500 0.500
```

It turns out #two is the most stable, with the second structure 0.061 eV/atom higher.

#one
LiCa4Ga2 | PBE-GGA | optimized geometry Values from VASP.

magnetization	0.00	μB/f.u.

Geometry as Quantum ESPRESSO input:
```
&SYSTEM
  ibrav = 0, nat = 7, ntyp = 3
/
ATOMIC_SPECIES
Ca 40.08 Ca.upf
Ga 69.72 Ga.upf
Li 6.94 Li.upf
CELL_PARAMETERS angstrom
-4.397 2.833 0.165
-3.666 -0.643 -3.678
-6.642 -5.700 3.894
ATOMIC_POSITIONS crystal
Ca 0.883 0.883 0.350
Ca 0.707 0.707 0.878
Ca 0.293 0.293 0.122
Ca 0.117 0.117 0.650
Ga 0.591 0.591 0.226
Ga 0.409 0.409 0.774
Li 0.500 0.500 0.500
```

#two
LiCa4Ga2 | PBE-GGA | optimized geometry Values from VASP.

magnetization	0.00	μB/f.u.

Geometry as Quantum ESPRESSO input:
```
&SYSTEM
  ibrav = 0, nat = 7, ntyp = 3
/
ATOMIC_SPECIES
Li 6.94 Li.upf
Ga 69.72 Ga.upf
Ca 40.08 Ca.upf
CELL_PARAMETERS angstrom
-3.845 3.493 -0.762
-4.478 -0.391 2.713
0.493 5.961 6.752
ATOMIC_POSITIONS crystal
Li 0.000 0.000 0.000
Ga 0.255 0.255 0.235
Ga 0.745 0.745 0.765
Ca 0.128 0.128 0.616
Ca 0.620 0.620 0.139
Ca 0.872 0.872 0.384
Ca 0.380 0.380 0.861
```

It turns out #two is the most stable, with the second structure 0.066 eV/atom higher.

#one
Li2Ca2Ga | PBE-GGA | optimized geometry Values from VASP.

magnetization	0.00	μB/f.u.

Geometry as Quantum ESPRESSO input:
```
&SYSTEM
  ibrav = 0, nat = 10, ntyp = 3
/
ATOMIC_SPECIES
Ca 40.08 Ca.upf
Ga 69.72 Ga.upf
Li 6.94 Li.upf
CELL_PARAMETERS angstrom
-1.456 7.149 -4.007
1.669 -3.726 -7.254
-4.105 -1.060 -0.400
ATOMIC_POSITIONS crystal
Ca 0.659 0.159 0.000
Ca 0.159 0.341 0.000
Ca 0.841 0.659 0.000
Ca 0.341 0.841 0.000
Ga 0.000 0.000 0.000
Ga 0.500 0.500 0.000
Li 0.640 0.860 0.500
Li 0.140 0.640 0.500
Li 0.360 0.140 0.500
Li 0.860 0.360 0.500
```

#two
Li2Ca2Ga | PBE-GGA | optimized geometry Values from VASP.

magnetization	0.00	μB/f.u.

Geometry as Quantum ESPRESSO input:
```
&SYSTEM
  ibrav = 0, nat = 5, ntyp = 3
/
ATOMIC_SPECIES
Li 6.94 Li.upf
Ga 69.72 Ga.upf
Ca 40.08 Ca.upf
CELL_PARAMETERS angstrom
5.161 0.000 1.963
-0.731 4.390 1.922
0.704 0.204 5.916
ATOMIC_POSITIONS crystal
Li 0.240 0.500 0.000
Li 0.760 0.500 0.000
Ga 0.000 0.000 0.000
Ca 0.693 0.193 0.614
Ca 0.307 0.807 0.386
```

#three
Li2Ca2Ga | PBE-GGA | optimized geometry Values from VASP.

magnetization	0.00	μB/f.u.

Geometry as Quantum ESPRESSO input:
```
&SYSTEM
  ibrav = 0, nat = 10, ntyp = 3
/
ATOMIC_SPECIES
Ga 69.72 Ga.upf
Li 6.94 Li.upf
Ca 40.08 Ca.upf
CELL_PARAMETERS angstrom
-2.049 4.311 -1.095
-3.334 -0.095 -5.086
-9.135 -0.601 3.778
ATOMIC_POSITIONS crystal
Ga 0.384 0.900 0.331
Ga 0.616 0.100 0.669
Li 0.124 0.221 0.532
Li 0.363 0.185 0.090
Li 0.637 0.815 0.910
Li 0.876 0.779 0.468
Ca 0.056 0.745 0.144
Ca 0.944 0.255 0.856
Ca 0.675 0.319 0.331
Ca 0.325 0.681 0.669
```

#four
Li2Ca2Ga | PBE-GGA | optimized geometry Values from VASP.

magnetization	0.00	μB/f.u.

Geometry as Quantum ESPRESSO input:
```
&SYSTEM
  ibrav = 0, nat = 10, ntyp = 3
/
ATOMIC_SPECIES
Ca 40.08 Ca.upf
Li 6.94 Li.upf
Ga 69.72 Ga.upf
CELL_PARAMETERS angstrom
-5.970 3.660 2.015
-2.314 -5.823 3.720
2.284 1.581 3.895
ATOMIC_POSITIONS crystal
Ca 0.190 0.690 0.500
Ca 0.810 0.310 0.500
Ca 0.310 0.190 0.500
Ca 0.690 0.810 0.500
Li 0.132 0.368 0.000
Li 0.368 0.868 0.000
Li 0.632 0.132 0.000
Li 0.868 0.632 0.000
Ga 0.000 0.000 0.000
Ga 0.500 0.500 0.000
```

It turns out #two is the most stable, with the second structure 0.009 eV/atom higher.

#one
Li3CaGa2 | PBE-GGA | optimized geometry Values from VASP.

magnetization	0.00	μB/f.u.

Geometry as Quantum ESPRESSO input:
```
&SYSTEM
  ibrav = 0, nat = 18, ntyp = 3
/
ATOMIC_SPECIES
Ca 40.08 Ca.upf
Li 6.94 Li.upf
Ga 69.72 Ga.upf
CELL_PARAMETERS angstrom
4.435 0.000 0.000
0.000 8.467 -4.888
0.000 0.000 9.777
ATOMIC_POSITIONS crystal
Ca 0.000 0.333 0.667
Ca 0.000 0.667 0.333
Ca 0.500 0.000 0.000
Li 0.500 0.500 0.500
Li 0.500 0.000 0.500
Li 0.000 0.000 0.708
Li 0.000 0.708 0.708
Li 0.000 0.708 0.000
Li 0.500 0.500 0.000
Li 0.000 0.292 0.000
Li 0.000 0.000 0.292
Li 0.000 0.292 0.292
Ga 0.500 0.183 0.366
Ga 0.500 0.634 0.817
Ga 0.500 0.366 0.183
Ga 0.500 0.183 0.817
Ga 0.500 0.817 0.183
Ga 0.500 0.817 0.634
```

#two
Li3CaGa2 | PBE-GGA | optimized geometry Values from VASP.

magnetization	0.00	μB/f.u.

Geometry as Quantum ESPRESSO input:
```
&SYSTEM
  ibrav = 0, nat = 12, ntyp = 3
/
ATOMIC_SPECIES
Li 6.94 Li.upf
Ca 40.08 Ca.upf
Ga 69.72 Ga.upf
CELL_PARAMETERS angstrom
-3.767 -1.501 1.812
-0.532 -0.620 -7.064
4.795 -6.213 4.823
ATOMIC_POSITIONS crystal
Li 0.049 0.098 0.390
Li 0.261 0.522 0.423
Li 0.739 0.478 0.577
Li 0.422 0.843 0.315
Li 0.578 0.157 0.685
Li 0.951 0.902 0.610
Ca 0.867 0.733 0.995
Ca 0.133 0.267 0.005
Ga 0.586 0.171 0.216
Ga 0.795 0.590 0.276
Ga 0.414 0.829 0.784
Ga 0.205 0.410 0.724
```

It turns out #two is the most stable, with the second structure 0.028 eV/atom higher.

#one
Li2CaGa6 | PBE-GGA | optimized geometry Values from VASP.

magnetization	0.00	μB/f.u.

Geometry as Quantum ESPRESSO input:
```
&SYSTEM
  ibrav = 0, nat = 9, ntyp = 3
/
ATOMIC_SPECIES
Ga 69.72 Ga.upf
Ca 40.08 Ca.upf
Li 6.94 Li.upf
CELL_PARAMETERS angstrom
-0.434 -3.119 -1.906
3.104 -5.287 4.390
-4.271 -4.313 4.474
ATOMIC_POSITIONS crystal
Ga 0.315 0.004 0.367
Ga 0.500 0.667 0.333
Ga 0.315 0.367 0.004
Ga 0.685 0.996 0.633
Ga 0.685 0.633 0.996
Ga 0.500 0.333 0.667
Ca 0.000 0.000 0.000
Li 0.870 0.630 0.630
Li 0.130 0.370 0.370
```

#two
Li2CaGa6 | PBE-GGA | optimized geometry Values from VASP.

magnetization	0.00	μB/f.u.

Geometry as Quantum ESPRESSO input:
```
&SYSTEM
  ibrav = 0, nat = 9, ntyp = 3
/
ATOMIC_SPECIES
Ga 69.72 Ga.upf
Li 6.94 Li.upf
Ca 40.08 Ca.upf
CELL_PARAMETERS angstrom
-2.115 1.075 -2.475
3.789 -4.276 -5.097
-5.952 -2.953 3.804
ATOMIC_POSITIONS crystal
Ga 0.500 0.339 0.339
Ga 0.500 0.661 0.000
Ga 0.500 0.000 0.339
Ga 0.500 0.661 0.661
Ga 0.500 0.000 0.661
Ga 0.500 0.339 0.000
Li 0.000 0.333 0.667
Li 0.000 0.667 0.333
Ca 0.000 0.000 0.000
```

It turns out #one is the most stable, with the second structure 0.009 eV/atom higher.

#one
Li2Ca8Ga | PBE-GGA | optimized geometry Values from VASP.

magnetization	0.00	μB/f.u.

Geometry as Quantum ESPRESSO input:
```
&SYSTEM
  ibrav = 0, nat = 11, ntyp = 3
/
ATOMIC_SPECIES
Li 6.94 Li.upf
Ca 40.08 Ca.upf
Ga 69.72 Ga.upf
CELL_PARAMETERS angstrom
5.591 0.000 0.000
0.000 7.529 0.098
-2.796 -3.103 9.023
ATOMIC_POSITIONS crystal
Li 0.181 0.706 0.361
Li 0.819 0.294 0.639
Ca 0.023 0.790 0.046
Ca 0.977 0.210 0.954
Ca 0.409 0.568 0.818
Ca 0.342 0.037 0.684
Ca 0.658 0.963 0.316
Ca 0.591 0.432 0.182
Ca 0.200 0.299 0.400
Ca 0.800 0.701 0.600
Ga 0.500 0.000 0.000
```

#two
Li2Ca8Ga | PBE-GGA | optimized geometry Values from VASP.

magnetization	0.00	μB/f.u.

Geometry as Quantum ESPRESSO input:
```
&SYSTEM
  ibrav = 0, nat = 11, ntyp = 3
/
ATOMIC_SPECIES
Ca 40.08 Ca.upf
Li 6.94 Li.upf
Ga 69.72 Ga.upf
CELL_PARAMETERS angstrom
-1.238 5.179 -1.266
-9.032 -1.855 1.246
5.738 0.242 7.207
ATOMIC_POSITIONS crystal
Ca 0.654 0.880 0.308
Ca 0.346 0.120 0.692
Ca 0.000 0.315 0.000
Ca 0.131 0.131 0.261
Ca 0.346 0.572 0.692
Ca 0.000 0.685 0.000
Ca 0.869 0.869 0.739
Ca 0.654 0.428 0.308
Li 0.802 0.302 0.605
Li 0.198 0.698 0.395
Ga 0.500 0.000 0.000
```

It turns out #one is the most stable, with the second structure 0.051 eV/atom higher.

#one
Li3Ca2Ga | PBE-GGA | optimized geometry Values from VASP.

magnetization	0.00	μB/f.u.

Geometry as Quantum ESPRESSO input:
```
&SYSTEM
  ibrav = 0, nat = 6, ntyp = 3
/
ATOMIC_SPECIES
Li 6.94 Li.upf
Ca 40.08 Ca.upf
Ga 69.72 Ga.upf
CELL_PARAMETERS angstrom
-3.602 -3.039 1.597
1.386 -3.764 -4.037
4.602 1.044 4.617
ATOMIC_POSITIONS crystal
Li 0.394 0.394 0.788
Li 0.000 0.000 0.000
Li 0.606 0.606 0.212
Ca 0.293 0.793 0.586
Ca 0.707 0.207 0.414
Ga 0.000 0.500 0.000
```

#two
Li3Ca2Ga | PBE-GGA | optimized geometry Values from VASP.

magnetization	0.00	μB/f.u.

Geometry as Quantum ESPRESSO input:
```
&SYSTEM
  ibrav = 0, nat = 6, ntyp = 3
/
ATOMIC_SPECIES
Li 6.94 Li.upf
Ca 40.08 Ca.upf
Ga 69.72 Ga.upf
CELL_PARAMETERS angstrom
5.155 -0.116 -2.666
-3.272 4.786 -0.300
-0.112 0.180 5.970
ATOMIC_POSITIONS crystal
Li 0.500 0.500 0.500
Li 0.500 0.000 0.500
Li 0.000 0.000 0.500
Ca 0.746 0.373 0.119
Ca 0.254 0.627 0.881
Ga 0.000 0.000 0.000
```

It turns out #two is the most stable, with the second structure 0.159 eV/atom higher.